First-principles (PBE) data for crystalline YOsPb2O6 at its relaxed geometry, as listed in the Open Quantum Materials Database.

Results
SG: P-1 (2)
energy: -7.014 eV per atom
crystal system: triclinic
size of the total moment: 1.298 μB per formula unit
relative energy among the computed polymorphs: 112.9 meV per atom

Unit cell a=5.133 b=5.144 c=5.760 alpha=88.24 beta=87.25 gamma=74.40
Site moments in Bohr magnetons follow the coordinates.
Element x y z (fractional)
O 0.726 0.732 0.993  0.09
Os 0.500 0.500 0.000  0.82
O 0.723 0.291 0.736  0.02
Pb 0.308 0.307 0.513  0.02
O 0.710 0.286 0.263  0.02
O 0.274 0.268 0.007  0.09
O 0.277 0.709 0.264  0.02
Y 0.000 0.000 0.000  0.02
Pb 0.692 0.693 0.487  0.02
O 0.290 0.714 0.737  0.02